Record 1
The following is a DFT calculation (GGA-PBE) of a relaxed structure of SrHfS2.

Results
DFT total energy in eV for the cell shown: -24.2
Space group: R-3m
ΔE_f (raw) in eV/atom: -1.07
Energy above the most stable polymorph in this dataset in meV per atom: 179

Structure (POSCAR):
```
SrHfS2
1.0
-4.472 -0.326 7.187
-3.436 -4.273 6.457
-0.717 -1.717 8.264
Sr S Hf
1 2 1
Direct
0.500 0.500 0.500
0.902 0.902 0.902
0.098 0.098 0.098
0.000 0.000 0.000
```

Record 2
The following is a DFT calculation (GGA-PBE) of a relaxed structure of K2CdPb2.

Results
DFT total energy in eV for the cell shown: -9.5
Space group: I4/mmm
Energy above the most stable polymorph in this dataset in meV per atom: 335

Structure (POSCAR):
```
K2CdPb2
1.0
4.869 0.000 0.000
0.000 4.869 0.000
2.435 2.435 7.984
Pb K Cd
2 2 1
Direct
0.411 0.411 0.177
0.589 0.589 0.823
0.750 0.250 0.500
0.250 0.750 0.500
0.000 0.000 0.000
```

Record 3
The following is a DFT calculation (GGA-PBE) of a relaxed structure of Ac2YBi.

Results
DFT total energy in eV for the cell shown: -18.3
Space group: R-3m
Energy above the most stable polymorph in this dataset in meV per atom: 407

Structure (POSCAR):
```
Ac2YBi
1.0
-1.622 -2.276 -2.551
1.647 -0.551 -3.362
6.537 -11.035 2.880
Y Ac Bi
1 2 1
Direct
0.500 0.500 0.500
0.088 0.088 0.736
0.912 0.912 0.264
0.000 0.000 0.000
```

Record 4
The following is a DFT calculation (GGA-PBE) of a relaxed structure of MnCrRhPb2.

Results
DFT total energy in eV for the cell shown: -26.7
Space group: P4/mmm

Structure (POSCAR):
```
MnCrRhPb2
1.0
5.058 0.000 0.000
0.000 4.469 0.000
0.000 0.000 5.058
Pb Cr Mn Rh
2 1 1 1
Direct
0.000 0.000 0.500
0.500 0.000 0.000
0.500 0.500 0.500
0.000 0.000 0.000
0.000 0.500 0.000
```